1.
## YZn2CoO (GGA+U)

Data for crystalline YZn2CoO at its relaxed geometry.

Lattice parameters (Å, degrees): 4.314 4.314 5.061 90.00 90.00 90.00
Positions (direct):
Y (0.000, 0.000, 0.000)
Zn (0.000, 0.500, 0.500)
Zn (0.500, 0.000, 0.500)
Co (0.000, 0.000, 0.500)
O (0.500, 0.500, 0.000)



2.
## PbWF2 (GGA+U)

Data for crystalline PbWF2 at its relaxed geometry.

Lattice parameters (Å, degrees): 10.107 10.107 10.107 17.94 17.94 17.94
Positions (direct):
Pb (0.000, 0.000, 0.000)
W (0.500, 0.500, 0.500)
F (0.436, 0.436, 0.436)
F (0.564, 0.564, 0.564)



| no. | E (eV per atom) |
| --- | --- |
| 1 | -3.639 |
| 2 | -4.644 |